UH2Pt | GGA-PBE | relaxed

Properties
The calculation puts the uncorrected energy at -6.05 eV per atom. The space group is R-3m. Its density of states at the Fermi level is 4.7 states/eV per cell.

Cell: 2.9529 2.9529 6.3710 Å, 76.60 76.60 60.00°
With the nearest neighbours (Å) after each atom.
Fractional positions:
1 Pt 0.0000 0.0000 0.0000  2 H 1.70
2 H 0.9077 0.9077 0.2768  1 Pt 1.70
3 U 0.5000 0.5000 0.5000  6 H 2.19
4 H 0.0923 0.0923 0.7232  1 Pt 1.70